Compound: BaBeSb2
Source: Alexandria
Functional: PBE
Structure: relaxed

```
BaBeSb2
1.0
-0.168 -4.621 3.723
5.327 2.607 0.264
-1.152 2.096 2.549
Sb Ba Be
2 1 1
direct
0.000 0.000 0.000
0.500 0.500 0.000
0.500 0.000 0.500
0.000 0.500 0.500
```

Summary:
As for the space group: Cmmm, No. 65. The total energy comes out at -12.89 eV/f.u. For the formation energy without anion corrections, the calculation gives 251 meV per atom.

***

Compound: BaBeSb2
Source: Alexandria
Functional: PBE
Structure: relaxed

```
BaBeSb2
1.0
-0.826 6.323 -1.459
-5.656 2.859 1.622
5.069 -3.346 2.430
Sb Ba Be
2 1 1
direct
0.097 0.097 0.000
0.730 0.230 0.500
0.458 0.458 0.000
0.215 0.715 0.500
```

Summary:
As for the space group: Imm2, No. 44. The total energy comes out at -14.05 eV/f.u. For the formation energy without anion corrections, the calculation gives -40 meV per atom.

***

Compound: Ba2BeSb
Source: Alexandria
Functional: PBE
Structure: relaxed

```
Ba2BeSb
1.0
-3.089 2.271 -1.525
0.009 -3.923 -1.279
-5.789 -2.583 7.881
Sb Ba Be
1 2 1
direct
0.500 0.500 0.677
0.000 0.000 0.924
0.500 0.500 0.331
0.000 0.000 0.568
```

Summary:
The value obtained for the offset from the most stable computed form is 1.48 eV/f.u. As for the space group: Cmm2, No. 35. The total energy comes out at -11.55 eV/f.u. For the formation energy without anion corrections, the calculation gives 37 meV per atom.

***

Compound: BaBeSb2
Source: Alexandria
Functional: PBE
Structure: relaxed

```
BaBeSb2
1.0
-5.334 1.451 -3.588
-5.360 -3.094 -2.266
-6.531 0.281 0.840
Sb Ba Be
2 1 1
direct
0.043 0.043 0.043
0.457 0.457 0.457
0.250 0.250 0.250
0.750 0.750 0.750
```

Summary:
As for the space group: R-3m, No. 166. The total energy comes out at -14.38 eV/f.u. For the formation energy without anion corrections, the calculation gives -123 meV per atom.

***

Compound: Ba2BeSb
Source: Alexandria
Functional: PBE
Structure: relaxed

```
Ba2BeSb
1.0
5.773 0.000 0.000
2.887 5.000 0.000
2.887 1.667 4.714
Sb Ba Be
1 2 1
direct
0.750 0.750 0.750
0.000 0.000 0.000
0.250 0.250 0.250
0.500 0.500 0.500
```

Summary:
The value obtained for the offset from the most stable computed form is 2.35 eV/f.u. As for the space group: F-43m, No. 216. The total energy comes out at -10.68 eV/f.u. For the formation energy without anion corrections, the calculation gives 254 meV per atom.

***

Compound: BaBeSb2
Source: Alexandria
Functional: PBE
Structure: relaxed

```
BaBeSb2
1.0
-2.064 -3.236 -0.794
2.837 -2.197 1.577
-3.260 0.477 6.531
Sb Ba Be
2 1 1
direct
0.000 0.000 0.962
0.500 0.500 0.186
0.000 0.000 0.508
0.500 0.500 0.845
```

Summary:
As for the space group: P4mm, No. 99. The total energy comes out at -13.72 eV/f.u. For the formation energy without anion corrections, the calculation gives 43 meV per atom.

***

Compound: BaBeSb
Source: Alexandria
Functional: PBE
Structure: relaxed

```
BaBeSb
1.0
-2.920 1.649 -2.697
-1.146 -1.108 3.997
1.176 4.820 1.673
Sb Ba Be
1 1 1
direct
0.333 0.667 0.500
0.000 0.000 0.000
0.667 0.333 0.500
```

Summary:
The value obtained for the offset from the most stable computed form is 0.03 eV/f.u. As for the space group: P-6m2, No. 187. The total energy comes out at -11.19 eV/f.u. For the formation energy without anion corrections, the calculation gives -472 meV per atom.

***

Compound: BaBeSb
Source: Alexandria
Functional: PBE
Structure: relaxed

```
BaBeSb
1.0
-1.661 4.304 2.830
-2.874 -0.688 4.534
2.227 1.100 4.808
Sb Ba Be
1 1 1
direct
0.500 0.500 0.500
0.750 0.750 0.750
0.000 0.000 0.000
```

Summary:
The value obtained for the offset from the most stable computed form is 3.08 eV/f.u. As for the space group: F-43m, No. 216. The total energy comes out at -8.13 eV/f.u. For the formation energy without anion corrections, the calculation gives 547 meV per atom.

***

Compound: BaBeSb
Source: Alexandria
Functional: PBE
Structure: relaxed

```
BaBeSb
1.0
-0.371 -1.361 -5.134
-4.469 -2.228 -1.847
-3.194 2.745 -3.257
Sb Ba Be
1 1 1
direct
0.750 0.750 0.750
0.000 0.000 0.000
0.500 0.500 0.500
```

Summary:
The value obtained for the offset from the most stable computed form is 2.28 eV/f.u. As for the space group: F-43m, No. 216. The total energy comes out at -8.94 eV/f.u. For the formation energy without anion corrections, the calculation gives 277 meV per atom.

***

Compound: BaBeSb2
Source: Alexandria
Functional: PBE
Structure: relaxed

```
BaBeSb2
1.0
3.990 0.263 0.000
0.985 3.875 0.000
0.000 0.000 7.549
Sb Ba Be
2 1 1
direct
0.000 0.000 0.938
0.000 0.000 0.562
0.500 0.500 0.250
0.500 0.500 0.750
```

Summary:
As for the space group: Cmmm, No. 65. The total energy comes out at -13.73 eV/f.u. For the formation energy without anion corrections, the calculation gives 41 meV per atom.

***

Compound: BaBeSb2
Source: Alexandria
Functional: PBE
Structure: relaxed

```
BaBeSb2
1.0
5.947 0.000 0.000
0.000 5.947 0.000
2.973 2.973 7.719
Sb Ba Be
4 2 2
direct
0.436 0.125 0.250
0.314 0.625 0.250
0.375 0.564 0.750
0.875 0.686 0.750
0.000 0.000 0.000
0.750 0.250 0.500
0.500 0.500 0.000
0.250 0.750 0.500
```

Summary:
As for the space group: I-42d, No. 122. The total energy comes out at -15.11 eV/f.u. For the formation energy without anion corrections, the calculation gives -304 meV per atom.

***

Compound: Ba2BeSb
Source: Alexandria
Functional: PBE
Structure: relaxed

```
Ba2BeSb
1.0
6.381 0.000 0.000
0.000 6.381 0.000
3.190 3.190 9.797
Sb Ba Be
2 4 2
direct
0.000 0.000 0.000
0.750 0.250 0.500
0.613 0.125 0.250
0.137 0.625 0.250
0.375 0.387 0.750
0.875 0.863 0.750
0.500 0.500 0.000
0.250 0.750 0.500
```

Summary:
The value obtained for the offset from the most stable computed form is 2.48 eV/f.u. As for the space group: I-42d, No. 122. The total energy comes out at -10.54 eV/f.u. For the formation energy without anion corrections, the calculation gives 288 meV per atom.

***

Question: Among the records above, which one has the highest formation energy without anion corrections?
Answer: number 8